Entry 1:
A geometry-optimized PrGd2Sc structure, computed with PBE-GGA.

a b c (Å): 4.9726 4.9726 5.0232
angles (deg): 90.00 90.00 90.00
Element x y z (fractional)
Pr: 0.0000 0.0000 0.0000
Gd: 0.0000 0.5000 0.5000
Gd: 0.5000 0.0000 0.5000
Sc: 0.5000 0.5000 0.0000

Calculated values
The spin magnetization comes out at 14.7 μB/f.u. The calculation puts the energy of formation at 0.043 eV per atom. The space group is P4/mmm. The calculation puts the polymorph energy (0 for the lowest one) at 0.000 eV per atom.

***

Entry 2:
A geometry-optimized PmDyHgPt structure, computed with PBE-GGA.

a b c (Å): 5.1576 5.1576 5.1576
angles (deg): 60.00 60.00 60.00
Element x y z (fractional)
Pm: 0.0000 0.0000 0.0000
Dy: 0.5000 0.5000 0.5000
Hg: 0.7500 0.7500 0.7500
Pt: 0.2500 0.2500 0.2500

Calculated values
The spin magnetization comes out at 0.0 μB/f.u. The calculation puts the energy of formation at -0.773 eV per atom. The space group is F-43m.

***

Entry 3:
A geometry-optimized La8HgGe3Br4 structure, computed with PBE-GGA.

a b c (Å): 8.8083 8.8083 8.8083
angles (deg): 61.04 61.04 61.04
Element x y z (fractional)
La: 0.2340 0.7491 0.7491
La: 0.2411 0.2411 0.2411
La: 0.2509 0.2509 0.7660
La: 0.2509 0.7660 0.2509
La: 0.7491 0.2340 0.7491
La: 0.7491 0.7491 0.2340
La: 0.7589 0.7589 0.7589
La: 0.7660 0.2509 0.2509
Hg: 0.5000 0.5000 0.5000
Ge: 0.0000 0.0000 0.5000
Ge: 0.0000 0.5000 0.0000
Ge: 0.5000 0.0000 0.0000
Br: 0.0000 0.0000 0.0000
Br: 0.0000 0.5000 0.5000
Br: 0.5000 0.0000 0.5000
Br: 0.5000 0.5000 0.0000

Calculated values
The spin magnetization comes out at 0.0 μB/f.u. The space group is R-3m. The formation energy (no corrections) is -1.128 eV/atom.

***

Entry 4:
A geometry-optimized Sc2CrCuIr structure, computed with PBE-GGA.

a b c (Å): 4.6767 4.6767 4.3289
angles (deg): 90.00 90.00 90.00
Element x y z (fractional)
Sc: 0.0000 0.5000 0.0000
Sc: 0.5000 0.0000 0.0000
Cr: 0.0000 0.0000 0.0000
Cu: 0.0000 0.0000 0.5000
Ir: 0.5000 0.5000 0.5000

Calculated values
The spin magnetization comes out at 2.7 μB/f.u. The calculation puts the energy of formation at 0.819 eV per atom. The space group is P4/mmm.

***

Entry 5:
A geometry-optimized Pm2Er6Tm structure, computed with PBE-GGA.

a b c (Å): 9.5225 9.5225 6.5131
angles (deg): 99.33 99.33 96.23
Element x y z (fractional)
Pm: 0.1181 0.1684 0.3732
Pm: 0.1684 0.1181 0.8732
Pm: 0.8316 0.8819 0.1268
Pm: 0.8819 0.8316 0.6268
Er: 0.0394 0.4406 0.7295
Er: 0.1518 0.7754 0.9958
Er: 0.2246 0.8482 0.5042
Er: 0.2777 0.4584 0.1867
Er: 0.4406 0.0394 0.2295
Er: 0.4584 0.2777 0.6867
Er: 0.5416 0.7223 0.3133
Er: 0.5594 0.9606 0.7705
Er: 0.7223 0.5416 0.8133
Er: 0.7754 0.1518 0.4958
Er: 0.8482 0.2246 0.0042
Er: 0.9606 0.5594 0.2705
Tm: 0.3827 0.6173 0.7500
Tm: 0.6173 0.3827 0.2500

Calculated values
The spin magnetization comes out at 0.0 μB/f.u. The calculation puts the energy of formation at 0.113 eV per atom. The space group is C2/c.

***

Entry 6:
A geometry-optimized Pr6SmEr structure, computed with PBE-GGA.

a b c (Å): 5.1983 5.1983 10.3987
angles (deg): 90.00 90.00 90.00
Element x y z (fractional)
Pr: 0.0000 0.0000 0.0000
Pr: 0.0000 0.0000 0.5000
Pr: 0.0000 0.5000 0.2481
Pr: 0.0000 0.5000 0.7519
Pr: 0.5000 0.0000 0.2481
Pr: 0.5000 0.0000 0.7519
Sm: 0.5000 0.5000 0.5000
Er: 0.5000 0.5000 0.0000

Calculated values
The spin magnetization comes out at 0.0 μB/f.u. The calculation puts the energy of formation at 0.015 eV per atom. The space group is P4/mmm.

***

- Which formula does entry 5 have?
  Pm2Er6Tm

***

- What is the spin magnetization in the third record?
  0.0 μB/f.u.

***

- The highest spin magnetization belongs to which entry?
  PrGd2Sc

***

- spin magnetization of number 3 (La8HgGe3Br4)?
  0.0 μB/f.u.